Record 1
This record from Alexandria describes a relaxed Tb4ZnRh crystal. The functional is PBE.

The structure belongs to space group P-1 (No. 2); the cell edges are 4.785, 5.053 and 6.945 Å and the angles 97.11°, 90.22° and 90.00°. The inequivalent atoms are Tb at (0.002, 0.040, 0.259), Tb at (0.498, 0.455, 0.741), Zn at (0.500, 0.000, 0.000) and Rh at (0.000, 0.500, 0.500).

The value obtained for the formation energy is -0.2705 eV/atom. The value obtained for the polymorph energy (0 for the lowest one) is 189 meV per atom. The total magnetic moment comes out at 0.0 μB/f.u. For the density of states at the Fermi level, the calculation gives 7.19 states/eV/cell.

Record 2
This record from Alexandria describes a relaxed LiTlRhAu crystal. The functional is PBE.

The structure belongs to space group F-43m (No. 216); the cell edges are 6.498, 6.498 and 6.498 Å and the angles 90.00°, 90.00° and 90.00°. The inequivalent atoms are Li at (0.000, 0.000, 0.000), Tl at (0.250, 0.250, 0.250), Rh at (0.000, 0.000, 0.500) and Au at (0.250, 0.250, 0.750).

The value obtained for the formation energy is -0.1812 eV/atom. The total magnetic moment comes out at 0.0 μB/f.u. For the density of states at the Fermi level, the calculation gives 12.12 states/eV/cell.

Record 3
This record from Alexandria describes a relaxed CaAl2InF8 crystal. The functional is PBE.

The structure belongs to space group R-3 (No. 148, hexagonal axes); the cell edges are 5.8644, 5.8644 and 25.3163 Å and the angles 90.00°, 90.00° and 120.00°. The inequivalent atoms are Ca at (0.0000, 0.0000, 0.0000), Al at (0.0000, 0.0000, 0.2539), In at (0.0000, 0.0000, 0.5000), F at (0.0000, 0.0000, 0.1876) and F at (0.0238, 0.4992, 0.3863).

As for the formation energy from raw total energies: -3.1202 eV per atom. The total magnetic moment comes out at 1.0 μB/f.u. For the density of states at the Fermi level, the calculation gives 6.84 states/eV/cell.

Record 4
This record from Alexandria describes a relaxed Na2MgGa crystal. The functional is PBE.

The structure belongs to space group R-3m (No. 166, hexagonal axes); the cell edges are 3.2128, 3.2128 and 34.7885 Å and the angles 90.00°, 90.00° and 120.00°. The inequivalent atoms are Na at (0.0000, 0.0000, 0.0916), Mg at (0.0000, 0.0000, 0.0000) and Ga at (0.0000, 0.0000, 0.5000).

The value obtained for the formation energy is 0.1370 eV/atom. The total magnetic moment comes out at 0.0 μB/f.u. For the density of states at the Fermi level, the calculation gives 5.54 states/eV/cell.

Record 5
This record from Alexandria describes a relaxed Na2ScAgO4 crystal. The functional is PBE.

The structure belongs to space group I-4 (No. 82); the cell edges are 5.888, 5.888 and 6.368 Å and the angles 90.00°, 90.00° and 90.00°. The inequivalent atoms are Na at (0.000, 0.000, 0.000), Na at (0.000, 0.500, 0.250), Sc at (0.000, 0.000, 0.500), Ag at (0.000, 0.500, 0.750) and O at (0.169, 0.798, 0.704).

As for the formation energy from raw total energies: -1.5936 eV per atom. The total magnetic moment comes out at 0.0 μB/f.u.

Record 6
This record from Alexandria describes a relaxed TbTmPa crystal. The functional is PBE.

The structure belongs to space group P3m1 (No. 156); the cell edges are 3.4109, 3.4109 and 8.4925 Å and the angles 90.00°, 90.00° and 120.00°. The inequivalent atoms are Tb at (0.0000, 0.0000, 0.0000), Tm at (0.3333, 0.6667, 0.6413) and Pa at (0.6667, 0.3333, 0.3229).

The value obtained for the formation energy is 0.1131 eV/atom. The value obtained for the polymorph energy (0 for the lowest one) is 0 meV per atom. The total magnetic moment comes out at 0.0 μB/f.u. For the density of states at the Fermi level, the calculation gives 4.32 states/eV/cell.

Record 7
This record from Alexandria describes a relaxed Pu2TiGeN5 crystal. The functional is PBE.

The structure belongs to space group Cmc2_1 (No. 36); the cell edges are 3.174, 13.567 and 10.046 Å and the angles 90.00°, 90.00° and 90.00°. The inequivalent atoms are Pu at (0.000, 0.126, 0.000), Pu at (0.000, 0.135, 0.566), Ti at (0.000, 0.224, 0.288), Ge at (0.000, 0.493, 0.763), N at (0.000, 0.061, 0.332), N at (0.000, 0.286, 0.932), N at (0.000, 0.296, 0.651), N at (0.000, 0.368, 0.293) and N at (0.000, 0.500, 0.074).

As for the formation energy from raw total energies: -0.9282 eV per atom. The total magnetic moment comes out at 8.9 μB/f.u. For the density of states at the Fermi level, the calculation gives 48.85 states/eV/cell.

Record 8
This record from Alexandria describes a relaxed Rb2MnAg2 crystal. The functional is PBE.

The structure belongs to space group I4/mmm (No. 139); the cell edges are 3.926, 3.926 and 23.264 Å and the angles 90.00°, 90.00° and 90.00°. The inequivalent atoms are Rb at (0.000, 0.000, 0.118), Mn at (0.000, 0.000, 0.500) and Ag at (0.000, 0.500, 0.250).

The value obtained for the formation energy is 0.5824 eV/atom. The value obtained for the polymorph energy (0 for the lowest one) is 0 meV per atom. The total magnetic moment comes out at 4.4 μB/f.u. For the density of states at the Fermi level, the calculation gives 9.85 states/eV/cell.

Record 9
This record from Alexandria describes a relaxed BaMgMn2Zn crystal. The functional is PBE.

The structure belongs to space group P4/mmm (No. 123); the cell edges are 5.650, 5.650 and 5.786 Å and the angles 90.00°, 90.00° and 90.00°. The inequivalent atoms are Ba at (0.000, 0.000, 0.000), Mg at (0.500, 0.500, 0.500), Mn at (0.000, 0.500, 0.000) and Zn at (0.000, 0.000, 0.500).

The value obtained for the formation energy is 1.5571 eV/atom. The total magnetic moment comes out at 8.2 μB/f.u. For the density of states at the Fermi level, the calculation gives 4.08 states/eV/cell.

Record 10
This record from Alexandria describes a relaxed YTlPS2 crystal. The functional is PBE.

The structure belongs to space group P4/mmm (No. 123); the cell edges are 5.290, 5.290 and 5.477 Å and the angles 90.00°, 90.00° and 90.00°. The inequivalent atoms are Y at (0.000, 0.000, 0.000), Tl at (0.500, 0.500, 0.500), P at (0.000, 0.000, 0.500) and S at (0.000, 0.500, 0.000).

As for the formation energy from raw total energies: -0.3005 eV per atom. The value obtained for the polymorph energy (0 for the lowest one) is 0 meV per atom. The total magnetic moment comes out at 1.7 μB/f.u. For the density of states at the Fermi level, the calculation gives 4.10 states/eV/cell.

Record 11
This record from Alexandria describes a relaxed PmGe3Ir2 crystal. The functional is PBE.

The structure belongs to space group Cmcm (No. 63); the cell edges are 9.816, 7.900 and 5.719 Å and the angles 90.00°, 90.00° and 90.00°. The inequivalent atoms are Pm at (0.000, 0.160, 0.250), Ge at (0.000, 0.476, 0.750), Ge at (0.166, 0.223, 0.750) and Ir at (0.231, 0.500, 0.000).

The value obtained for the formation energy is -0.4156 eV/atom. The value obtained for the polymorph energy (0 for the lowest one) is 108 meV per atom. The total magnetic moment comes out at 0.0 μB/f.u. For the density of states at the Fermi level, the calculation gives 10.61 states/eV/cell.

Record 12
This record from Alexandria describes a relaxed Tb2ScGa6 crystal. The functional is PBE.

The structure belongs to space group Immm (No. 71); the cell edges are 4.247, 6.822 and 13.523 Å and the angles 90.00°, 90.00° and 90.00°. The inequivalent atoms are Tb at (0.000, 0.000, 0.124), Sc at (0.000, 0.500, 0.000), Ga at (0.000, 0.191, 0.315) and Ga at (0.000, 0.296, 0.500).

The value obtained for the formation energy is -0.4122 eV/atom. The value obtained for the polymorph energy (0 for the lowest one) is 182 meV per atom. The total magnetic moment comes out at 0.0 μB/f.u. For the density of states at the Fermi level, the calculation gives 10.72 states/eV/cell.

Record 13
This record from Alexandria describes a relaxed ZrGaGe3 crystal. The functional is PBE.

The structure belongs to space group Pm-3m (No. 221); the cell edges are 5.208, 5.208 and 5.208 Å and the angles 90.00°, 90.00° and 90.00°. The inequivalent atoms are Zr at (0.000, 0.000, 0.000), Ga at (0.500, 0.500, 0.500) and Ge at (0.000, 0.000, 0.500).

The value obtained for the formation energy is 0.4097 eV/atom. The value obtained for the polymorph energy (0 for the lowest one) is 0 meV per atom. The total magnetic moment comes out at 0.0 μB/f.u. For the density of states at the Fermi level, the calculation gives 1.84 states/eV/cell.

Record 14
This record from Alexandria describes a relaxed BS2N crystal. The functional is PBE.

The structure belongs to space group Fm-3m (No. 225); the cell edges are 5.485, 5.485 and 5.485 Å and the angles 90.00°, 90.00° and 90.00°. The inequivalent atoms are B at (0.000, 0.000, 0.000), S at (0.250, 0.250, 0.250) and N at (0.000, 0.000, 0.500).

As for the formation energy from raw total energies: 2.1515 eV per atom. The value obtained for the polymorph energy (0 for the lowest one) is 1165 meV per atom. The total magnetic moment comes out at 0.0 μB/f.u. For the density of states at the Fermi level, the calculation gives 9.18 states/eV/cell.

Record 15
This record from Alexandria describes a relaxed Mg4Si3 crystal. The functional is PBE.

The structure belongs to space group P-1 (No. 2); the cell edges are 6.971, 7.002 and 7.029 Å and the angles 72.62°, 63.82° and 88.04°. The inequivalent atoms are Mg at (0.171, 0.105, 0.261), Mg at (0.195, 0.527, 0.268), Mg at (0.201, 0.879, 0.908), Mg at (0.235, 0.465, 0.809), Si at (0.119, 0.209, 0.624), Si at (0.480, 0.837, 0.141) and Si at (0.498, 0.172, 0.514).

As for the formation energy from raw total energies: 0.0636 eV per atom. The value obtained for the polymorph energy (0 for the lowest one) is 96 meV per atom. The total magnetic moment comes out at 0.0 μB/f.u. For the density of states at the Fermi level, the calculation gives 4.37 states/eV/cell.

Record 16
This record from Alexandria describes a relaxed Tb6Pm2Er3Zr crystal. The functional is PBE.

The structure belongs to space group C2/m (No. 12); the cell edges are 6.113, 10.573 and 11.685 Å and the angles 90.00°, 99.98° and 90.00°. The inequivalent atoms are Tb at (0.244, 0.000, 0.252), Tb at (0.246, 0.163, 0.748), Pm at (0.000, 0.333, 0.500), Er at (0.000, 0.166, 0.000), Er at (0.000, 0.500, 0.000) and Zr at (0.000, 0.000, 0.500).

The value obtained for the formation energy is 0.0513 eV/atom. The total magnetic moment comes out at 0.0 μB/f.u. For the density of states at the Fermi level, the calculation gives 29.88 states/eV/cell.

Record 17
This record from Alexandria describes a relaxed Cs2HfBi crystal. The functional is PBE.

The structure belongs to space group I-42d (No. 122); the cell edges are 14.444, 14.444 and 5.664 Å and the angles 90.00°, 90.00° and 90.00°. The inequivalent atoms are Cs at (0.084, 0.750, 0.125), Hf at (0.000, 0.000, 0.500) and Bi at (0.000, 0.000, 0.000).

The value obtained for the formation energy is 0.5030 eV/atom. The total magnetic moment comes out at 1.0 μB/f.u. For the density of states at the Fermi level, the calculation gives 4.85 states/eV/cell.

Record 18
This record from Alexandria describes a relaxed LiGe3Ru crystal. The functional is PBE.

The structure belongs to space group Pm-3m (No. 221); the cell edges are 4.840, 4.840 and 4.840 Å and the angles 90.00°, 90.00° and 90.00°. The inequivalent atoms are Li at (0.000, 0.000, 0.000), Ge at (0.000, 0.500, 0.500) and Ru at (0.500, 0.500, 0.500).

The value obtained for the formation energy is 0.2416 eV/atom. The value obtained for the polymorph energy (0 for the lowest one) is 0 meV per atom. The total magnetic moment comes out at 1.7 μB/f.u. For the density of states at the Fermi level, the calculation gives 3.83 states/eV/cell.